Version P
The following is a DFT calculation (PBE) of an optimized crystal structure of RbTlCr3.

Properties
Density of states at the Fermi level: 0.41 states/eV per atom
M_tot: 13.98 μB per formula unit
Crystal system: cubic

Structure (CIF):
```
data_RbTlCr3
_cell_length_a 5.451
_cell_length_b 5.451
_cell_length_c 5.451
_cell_angle_alpha 90.00
_cell_angle_beta 90.00
_cell_angle_gamma 90.00
_symmetry_space_group_name_H-M 'P m -3 m'
_symmetry_Int_Tables_number 221
_symmetry_space_group_name_Hall '-P 4 2 3'
loop_
_atom_site_label
_atom_site_fract_x
_atom_site_fract_y
_atom_site_fract_z
_atom_site_occupancy
Rb1 0.000 0.000 0.000 1
Tl1 0.500 0.500 0.500 1
Cr1 0.000 0.500 0.500 1
```


Version Q
The following is a DFT calculation (PBE) of an optimized crystal structure of RbTlCr3.

Properties
Density of states at the Fermi level: 0.60 states/eV per atom
M_tot: 16.02 μB per formula unit
Crystal system: cubic

Structure (CIF):
```
data_RbTlCr3
_cell_length_a 5.913
_cell_length_b 5.913
_cell_length_c 5.913
_cell_angle_alpha 90.00
_cell_angle_beta 90.00
_cell_angle_gamma 90.00
_symmetry_space_group_name_H-M 'P m -3 m'
_symmetry_Int_Tables_number 221
_symmetry_space_group_name_Hall '-P 4 2 3'
loop_
_atom_site_label
_atom_site_fract_x
_atom_site_fract_y
_atom_site_fract_z
_atom_site_occupancy
Rb1 0.000 0.000 0.000 1
Tl1 0.500 0.500 0.500 1
Cr1 0.000 0.000 0.500 1
```


Energetically preferred structure: version P | next structure: +911 meV per atom


Version P
The following is a DFT calculation (PBE) of an optimized crystal structure of RbV3Cr.

Properties
Density of states at the Fermi level: 2.11 states/eV per atom
M_tot: 6.32 μB per formula unit
Crystal system: cubic

Structure (CIF):
```
data_RbV3Cr
_cell_length_a 4.793
_cell_length_b 4.793
_cell_length_c 4.793
_cell_angle_alpha 90.00
_cell_angle_beta 90.00
_cell_angle_gamma 90.00
_symmetry_space_group_name_H-M 'P m -3 m'
_symmetry_Int_Tables_number 221
_symmetry_space_group_name_Hall '-P 4 2 3'
loop_
_atom_site_label
_atom_site_fract_x
_atom_site_fract_y
_atom_site_fract_z
_atom_site_occupancy
Rb1 0.000 0.000 0.000 1
V1 0.000 0.500 0.500 1
Cr1 0.500 0.500 0.500 1
```


Version Q
The following is a DFT calculation (PBE) of an optimized crystal structure of RbV3Cr.

Properties
Density of states at the Fermi level: 1.40 states/eV per atom
M_tot: 3.78 μB per formula unit
Crystal system: cubic

Structure (CIF):
```
data_RbV3Cr
_cell_length_a 4.498
_cell_length_b 4.498
_cell_length_c 4.498
_cell_angle_alpha 90.00
_cell_angle_beta 90.00
_cell_angle_gamma 90.00
_symmetry_space_group_name_H-M 'P m -3 m'
_symmetry_Int_Tables_number 221
_symmetry_space_group_name_Hall '-P 4 2 3'
loop_
_atom_site_label
_atom_site_fract_x
_atom_site_fract_y
_atom_site_fract_z
_atom_site_occupancy
Rb1 0.000 0.000 0.000 1
V1 0.000 0.000 0.500 1
Cr1 0.500 0.500 0.500 1
```


Energetically preferred structure: version P | next structure: +1328 meV per atom


Version P
The following is a DFT calculation (PBE) of an optimized crystal structure of RbVCr2.

Properties
Density of states at the Fermi level: 1.09 states/eV per atom
M_tot: 4.97 μB per formula unit
Crystal system: tetragonal

Structure (CIF):
```
data_RbVCr2
_cell_length_a 5.827
_cell_length_b 5.827
_cell_length_c 14.474
_cell_angle_alpha 90.00
_cell_angle_beta 90.00
_cell_angle_gamma 90.00
_symmetry_space_group_name_H-M 'I -4 2 d'
_symmetry_Int_Tables_number 122
_symmetry_space_group_name_Hall 'I -4 2bw'
loop_
_atom_site_label
_atom_site_fract_x
_atom_site_fract_y
_atom_site_fract_z
_atom_site_occupancy
Rb1 0.000 0.000 0.000 1
V1 0.000 0.000 0.500 1
Cr1 0.003 0.750 0.625 1
```


Version Q
The following is a DFT calculation (PBE) of an optimized crystal structure of RbVCr2.

Properties
Density of states at the Fermi level: 1.19 states/eV per atom
M_tot: 4.89 μB per formula unit
Crystal system: cubic

Structure (CIF):
```
data_RbVCr2
_cell_length_a 7.032
_cell_length_b 7.032
_cell_length_c 7.032
_cell_angle_alpha 90.00
_cell_angle_beta 90.00
_cell_angle_gamma 90.00
_symmetry_space_group_name_H-M 'F m -3 m'
_symmetry_Int_Tables_number 225
_symmetry_space_group_name_Hall '-F 4 2 3'
loop_
_atom_site_label
_atom_site_fract_x
_atom_site_fract_y
_atom_site_fract_z
_atom_site_occupancy
Rb1 0.000 0.000 0.000 1
V1 0.000 0.000 0.500 1
Cr1 0.250 0.250 0.250 1
```


Energetically preferred structure: version P | next structure: +37 meV per atom


Version P
The following is a DFT calculation (PBE) of an optimized crystal structure of Rb2CrW.

Properties
Density of states at the Fermi level: 1.30 states/eV per atom
M_tot: 0.04 μB per formula unit
Crystal system: tetragonal

Structure (CIF):
```
data_Rb2CrW
_cell_length_a 13.473
_cell_length_b 13.473
_cell_length_c 4.342
_cell_angle_alpha 90.00
_cell_angle_beta 90.00
_cell_angle_gamma 90.00
_symmetry_space_group_name_H-M 'I -4 2 d'
_symmetry_Int_Tables_number 122
_symmetry_space_group_name_Hall 'I -4 2bw'
loop_
_atom_site_label
_atom_site_fract_x
_atom_site_fract_y
_atom_site_fract_z
_atom_site_occupancy
Rb1 0.058 0.250 0.125 1
Cr1 0.000 0.000 0.000 1
W1 0.000 0.000 0.500 1
```


Version Q
The following is a DFT calculation (PBE) of an optimized crystal structure of Rb2CrW.

Properties
Density of states at the Fermi level: 0.33 states/eV per atom
M_tot: 10.16 μB per formula unit
Crystal system: cubic

Structure (CIF):
```
data_Rb2CrW
_cell_length_a 8.774
_cell_length_b 8.774
_cell_length_c 8.774
_cell_angle_alpha 90.00
_cell_angle_beta 90.00
_cell_angle_gamma 90.00
_symmetry_space_group_name_H-M 'F m -3 m'
_symmetry_Int_Tables_number 225
_symmetry_space_group_name_Hall '-F 4 2 3'
loop_
_atom_site_label
_atom_site_fract_x
_atom_site_fract_y
_atom_site_fract_z
_atom_site_occupancy
Rb1 0.250 0.250 0.250 1
Cr1 0.000 0.000 0.000 1
W1 0.000 0.000 0.500 1
```


Energetically preferred structure: version P | next structure: +352 meV per atom


Version P
The following is a DFT calculation (PBE) of an optimized crystal structure of RbYCr3.

Properties
Density of states at the Fermi level: 0.36 states/eV per atom
M_tot: 10.09 μB per formula unit
Crystal system: cubic

Structure (CIF):
```
data_RbYCr3
_cell_length_a 4.954
_cell_length_b 4.954
_cell_length_c 4.954
_cell_angle_alpha 90.00
_cell_angle_beta 90.00
_cell_angle_gamma 90.00
_symmetry_space_group_name_H-M 'P m -3 m'
_symmetry_Int_Tables_number 221
_symmetry_space_group_name_Hall '-P 4 2 3'
loop_
_atom_site_label
_atom_site_fract_x
_atom_site_fract_y
_atom_site_fract_z
_atom_site_occupancy
Rb1 0.000 0.000 0.000 1
Y1 0.500 0.500 0.500 1
Cr1 0.000 0.000 0.500 1
```


Version Q
The following is a DFT calculation (PBE) of an optimized crystal structure of RbYCr3.

Properties
Density of states at the Fermi level: 1.81 states/eV per atom
M_tot: 14.63 μB per formula unit
Crystal system: cubic

Structure (CIF):
```
data_RbYCr3
_cell_length_a 5.825
_cell_length_b 5.825
_cell_length_c 5.825
_cell_angle_alpha 90.00
_cell_angle_beta 90.00
_cell_angle_gamma 90.00
_symmetry_space_group_name_H-M 'P m -3 m'
_symmetry_Int_Tables_number 221
_symmetry_space_group_name_Hall '-P 4 2 3'
loop_
_atom_site_label
_atom_site_fract_x
_atom_site_fract_y
_atom_site_fract_z
_atom_site_occupancy
Rb1 0.000 0.000 0.000 1
Y1 0.500 0.500 0.500 1
Cr1 0.000 0.500 0.500 1
```


Energetically preferred structure: version Q | next structure: +403 meV per atom


Version P
The following is a DFT calculation (PBE) of an optimized crystal structure of RbZn3Cr.

Properties
Density of states at the Fermi level: 0.59 states/eV per atom
M_tot: 4.35 μB per formula unit
Crystal system: cubic

Structure (CIF):
```
data_RbZn3Cr
_cell_length_a 5.139
_cell_length_b 5.139
_cell_length_c 5.139
_cell_angle_alpha 90.00
_cell_angle_beta 90.00
_cell_angle_gamma 90.00
_symmetry_space_group_name_H-M 'P m -3 m'
_symmetry_Int_Tables_number 221
_symmetry_space_group_name_Hall '-P 4 2 3'
loop_
_atom_site_label
_atom_site_fract_x
_atom_site_fract_y
_atom_site_fract_z
_atom_site_occupancy
Rb1 0.000 0.000 0.000 1
Zn1 0.000 0.500 0.500 1
Cr1 0.500 0.500 0.500 1
```


Version Q
The following is a DFT calculation (PBE) of an optimized crystal structure of RbZn3Cr.

Properties
Density of states at the Fermi level: 0.44 states/eV per atom
M_tot: 5.17 μB per formula unit
Crystal system: cubic

Structure (CIF):
```
data_RbZn3Cr
_cell_length_a 6.314
_cell_length_b 6.314
_cell_length_c 6.314
_cell_angle_alpha 90.00
_cell_angle_beta 90.00
_cell_angle_gamma 90.00
_symmetry_space_group_name_H-M 'P m -3 m'
_symmetry_Int_Tables_number 221
_symmetry_space_group_name_Hall '-P 4 2 3'
loop_
_atom_site_label
_atom_site_fract_x
_atom_site_fract_y
_atom_site_fract_z
_atom_site_occupancy
Rb1 0.000 0.000 0.000 1
Zn1 0.000 0.000 0.500 1
Cr1 0.500 0.500 0.500 1
```


Energetically preferred structure: version P | next structure: +931 meV per atom